! AlAg2Au | Alexandria | GGA-PBE | optimized geometry; values from VASP
&SYSTEM
  ibrav = 0, nat = 4, ntyp = 3
/
ATOMIC_SPECIES
Ag 107.87 Ag.upf
Au 196.97 Au.upf
Al 26.98 Al.upf
CELL_PARAMETERS angstrom
-1.897 0.031 -4.725
1.737 -4.555 1.471
-2.648 -0.668 1.059
ATOMIC_POSITIONS angstrom
Ag 0.000 0.000 0.000
Au -0.456 -2.612 1.265
Ag -0.080 -2.262 -1.627
Al -2.273 -0.318 -1.833
! Density of states at the Fermi level, states/eV per atom: 0.306
! V, Å³/atom: 17.40
! E, eV for the cell shown: -13.04

! Al2AgAu7 | Alexandria | GGA-PBE | optimized geometry; values from VASP
&SYSTEM
  ibrav = 0, nat = 10, ntyp = 3
/
ATOMIC_SPECIES
Ag 107.87 Ag.upf
Au 196.97 Au.upf
Al 26.98 Al.upf
CELL_PARAMETERS angstrom
4.136 0.000 -0.796
-0.153 4.133 -0.796
-0.047 -0.048 10.903
ATOMIC_POSITIONS angstrom
Ag 0.000 0.000 0.000
Au 3.624 1.615 7.690
Au 2.457 0.403 1.621
Au 1.480 3.682 7.690
Au 0.312 2.470 1.621
Au 3.040 1.009 4.656
Al 1.267 1.315 6.587
Au 1.991 2.067 -0.796
Al 2.669 2.770 2.724
Au 0.896 3.076 4.656
! Density of states at the Fermi level, states/eV per atom: 0.401
! Offset from the most stable computed form, meV/atom: 0
! V, Å³/atom: 18.61

! Al2Ag3Au7 | Alexandria | GGA-PBE | optimized geometry; values from VASP
&SYSTEM
  ibrav = 0, nat = 12, ntyp = 3
/
ATOMIC_SPECIES
Au 196.97 Au.upf
Al 26.98 Al.upf
Ag 107.87 Ag.upf
CELL_PARAMETERS angstrom
4.585 0.947 -2.453
0.931 4.852 -0.428
-4.740 -0.964 13.036
ATOMIC_POSITIONS angstrom
Au -1.413 -0.101 5.566
Au 0.000 0.000 0.000
Al -1.013 0.021 8.109
Au 1.103 2.409 1.377
Au 2.188 4.936 4.589
Au -0.327 2.425 8.778
Ag -0.548 2.070 3.862
Ag 1.324 2.765 6.293
Ag 2.758 2.899 -1.440
Al 1.788 4.814 2.046
Au 3.807 5.361 -0.228
Au -3.031 -0.527 10.384
! Density of states at the Fermi level, states/eV per atom: 0.265
! V, Å³/atom: 18.69
! E, eV for the cell shown: -40.53

! AlAg2Au | Alexandria | GGA-PBE | optimized geometry; values from VASP
&SYSTEM
  ibrav = 0, nat = 4, ntyp = 3
/
ATOMIC_SPECIES
Ag 107.87 Ag.upf
Al 26.98 Al.upf
Au 196.97 Au.upf
CELL_PARAMETERS angstrom
4.028 0.000 0.000
0.000 3.888 0.000
0.000 0.000 4.395
ATOMIC_POSITIONS angstrom
Ag 0.000 0.000 0.000
Ag 2.014 1.944 0.000
Al 2.014 0.000 2.198
Au 0.000 1.944 2.198
! Density of states at the Fermi level, states/eV per atom: 0.264
! V, Å³/atom: 17.21
! E, eV for the cell shown: -13.23

! AlAgAu2 | Alexandria | GGA-PBE | optimized geometry; values from VASP
&SYSTEM
  ibrav = 0, nat = 4, ntyp = 3
/
ATOMIC_SPECIES
Al 26.98 Al.upf
Au 196.97 Au.upf
Ag 107.87 Ag.upf
CELL_PARAMETERS angstrom
-5.004 0.703 7.052
-6.796 -1.113 5.276
-4.538 -2.370 7.004
ATOMIC_POSITIONS angstrom
Al -4.085 -0.695 4.833
Au -8.301 -1.412 9.821
Ag -12.254 -2.085 14.498
Au -16.207 -2.757 19.175
! Density of states at the Fermi level, states/eV per atom: 0.363
! Offset from the most stable computed form, meV/atom: 71
! V, Å³/atom: 17.76

! AlAg5Au | Alexandria | GGA-PBE | optimized geometry; values from VASP
&SYSTEM
  ibrav = 0, nat = 14, ntyp = 3
/
ATOMIC_SPECIES
Al 26.98 Al.upf
Ag 107.87 Ag.upf
Au 196.97 Au.upf
CELL_PARAMETERS angstrom
-3.569 -0.360 -4.368
1.683 -0.421 -5.379
-0.241 -9.798 -0.665
ATOMIC_POSITIONS angstrom
Al 0.604 -2.859 -5.349
Al -2.730 -7.721 -5.063
Ag -0.053 -3.255 -2.638
Ag -1.695 -9.928 -6.882
Ag -1.122 -8.143 -2.788
Ag -1.080 -5.035 -6.645
Au 0.000 0.000 0.000
Ag -1.004 -2.437 -7.625
Ag -0.430 -0.651 -3.531
Ag -1.046 -5.545 -3.768
Au -0.120 -4.899 -0.333
Ag -1.960 -2.829 -4.856
Ag -2.073 -7.325 -7.775
Ag -0.166 -7.751 -5.557
! Density of states at the Fermi level, states/eV per atom: 0.262
! V, Å³/atom: 18.48
! E, eV for the cell shown: -42.37